Record 1
Here is an optimized crystal structure of Ce4ScHg5 from Alexandria via LeMat-Bulk. Energies are from PBE.

Cell and atoms, written as extended XYZ:
```
10
Lattice="3.4482 0.0000 0.0000 0.0000 3.4482 0.0000 0.0000 0.0000 21.6639" Properties=species:S:1:pos:R:3 pbc="T T T"
Ce 0.0000 0.0000 17.5960
Ce 0.0000 0.0000 8.5799
Ce 0.0000 0.0000 13.0839
Ce 0.0000 0.0000 4.0679
Hg 1.7241 1.7241 1.7977
Hg 1.7241 1.7241 10.8319
Hg 1.7241 1.7241 6.3210
Hg 1.7241 1.7241 19.8662
Hg 1.7241 1.7241 15.3428
Sc 0.0000 0.0000 0.0000
```

Results
The value obtained for the formation energy is -0.32 eV per atom. The calculation puts the size of the total moment at 5.097 μB per cell. The space group is P4/mmm, No. 123.

=====

Record 2
Here is an optimized crystal structure of AlIn2SnRh from Alexandria via LeMat-Bulk. Energies are from PBE.

Cell and atoms, written as extended XYZ:
```
5
Lattice="-3.8552 -1.5740 3.0489 2.0628 -4.2267 0.4263 2.5867 1.6798 4.1380" Properties=species:S:1:pos:R:3 pbc="T T T"
Rh 0.0000 0.0000 0.0000
Sn 0.3971 -2.0605 3.8066
In 1.2933 0.8399 2.0690
In -1.9276 -0.7870 1.5244
Al 1.0314 -2.1134 0.2132
```

Results
The value obtained for the formation energy is -0.03 eV per atom. The calculation puts the size of the total moment at 0.000 μB per cell. The space group is P4/mmm, No. 123.

=====

Record 3
Here is an optimized crystal structure of CdTeRh4 from Alexandria via LeMat-Bulk. Energies are from PBE.

Cell and atoms, written as extended XYZ:
```
6
Lattice="0.0000 3.7294 3.7294 3.7294 0.0000 3.7294 3.7294 3.7294 0.0000" Properties=species:S:1:pos:R:3 pbc="T T T"
Rh 4.6627 4.6627 2.7961
Rh 4.6627 2.7961 4.6627
Rh 2.7961 2.7961 2.7961
Rh 2.7961 4.6627 4.6627
Cd 0.0000 0.0000 0.0000
Te 5.5941 5.5941 5.5941
```

Results
For the uncorrected formation energy, the calculation gives 0.1805 eV per atom. The calculation puts the size of the total moment at 0.000 μB per cell. The space group is F-43m, No. 216.

=====

Record 4
Here is an optimized crystal structure of Pa4SiSe5 from Alexandria via LeMat-Bulk. Energies are from PBE.

Cell and atoms, written as extended XYZ:
```
10
Lattice="4.0489 0.0000 0.0000 0.0000 8.1052 -0.4226 -2.0245 -1.5900 8.6675" Properties=species:S:1:pos:R:3 pbc="T T T"
Se 2.0245 4.3366 5.5127
Se 0.0000 6.2255 2.5745
Se 0.0000 2.1786 2.7321
Se 2.0245 4.0526 -0.2113
Se 2.0245 0.2898 5.6703
Si 2.0245 0.0000 0.0000
Pa 0.0000 6.1453 -0.3078
Pa 2.0245 0.3699 8.5527
Pa 0.0000 6.3086 5.4533
Pa 2.0245 0.2066 2.7916
```

Results
For the uncorrected formation energy, the calculation gives -1.1492 eV per atom. The calculation puts the size of the total moment at 1.267 μB per cell. The space group is C2/m, No. 12.